Here is crystalline DyYNi4 at its relaxed geometry from Alexandria via LeMat-Bulk. Energies are from PBE-GGA.

The structure in CIF format:
```
data_DyYNi4
_chemical_formula_sum 'Dy4 Y4 Ni16'
_cell_length_a 7.176
_cell_length_b 7.176
_cell_length_c 7.176
_cell_angle_alpha 90.00
_cell_angle_beta 90.00
_cell_angle_gamma 90.00
_symmetry_space_group_name_H-M 'F -4 3 m'
_symmetry_Int_Tables_number 216
_symmetry_space_group_name_Hall 'F -4 2 3'
loop_
_atom_site_label
_atom_site_type_symbol
_atom_site_fract_x
_atom_site_fract_y
_atom_site_fract_z
Dy1 Dy 0.000 0.000 0.000
Y1 Y 0.250 0.250 0.750
Ni1 Ni 0.125 0.125 0.375
```

- total DFT energy (no corrections) (eV for the cell shown) = -147.2


Here is crystalline Ac2La7Pm at its relaxed geometry from Alexandria via LeMat-Bulk. Energies are from PBE-GGA.

The structure in CIF format:
```
data_Ac2La7Pm
_chemical_formula_sum 'Ac4 La14 Pm2'
_cell_length_a 6.974
_cell_length_b 30.360
_cell_length_c 3.645
_cell_angle_alpha 90.00
_cell_angle_beta 90.00
_cell_angle_gamma 90.00
_symmetry_space_group_name_H-M 'C m m m'
_symmetry_Int_Tables_number 65
_symmetry_space_group_name_Hall '-C 2 2'
loop_
_atom_site_label
_atom_site_type_symbol
_atom_site_fract_x
_atom_site_fract_y
_atom_site_fract_z
Ac1 Ac 0.000 0.206 0.000
La1 La 0.000 0.000 0.000
La2 La 0.000 0.315 0.500
La3 La 0.242 0.403 0.000
Pm1 Pm 0.000 0.500 0.500
```

- energy above the lowest structure with this stoichiometry (meV per atom) = 0
- total DFT energy (no corrections) (eV for the cell shown) = -92.4


Here is crystalline PrEuHoAl at its relaxed geometry from Alexandria via LeMat-Bulk. Energies are from PBE-GGA.

The structure in CIF format:
```
data_PrEuHoAl
_chemical_formula_sum 'Pr4 Eu4 Ho4 Al4'
_cell_length_a 7.749
_cell_length_b 7.749
_cell_length_c 7.749
_cell_angle_alpha 90.00
_cell_angle_beta 90.00
_cell_angle_gamma 90.00
_symmetry_space_group_name_H-M 'F -4 3 m'
_symmetry_Int_Tables_number 216
_symmetry_space_group_name_Hall 'F -4 2 3'
loop_
_atom_site_label
_atom_site_type_symbol
_atom_site_fract_x
_atom_site_fract_y
_atom_site_fract_z
Pr1 Pr 0.000 0.000 0.000
Eu1 Eu 0.250 0.250 0.750
Ho1 Ho 0.000 0.000 0.500
Al1 Al 0.250 0.250 0.250
```

- total DFT energy (no corrections) (eV for the cell shown) = -94.0


Here is crystalline Nb3TeRu at its relaxed geometry from Alexandria via LeMat-Bulk. Energies are from PBE-GGA.

The structure in CIF format:
```
data_Nb3TeRu
_chemical_formula_sum 'Nb3 Te1 Ru1'
_cell_length_a 4.934
_cell_length_b 4.934
_cell_length_c 4.934
_cell_angle_alpha 90.00
_cell_angle_beta 90.00
_cell_angle_gamma 90.00
_symmetry_space_group_name_H-M 'P m -3 m'
_symmetry_Int_Tables_number 221
_symmetry_space_group_name_Hall '-P 4 2 3'
loop_
_atom_site_label
_atom_site_type_symbol
_atom_site_fract_x
_atom_site_fract_y
_atom_site_fract_z
Nb1 Nb 0.000 0.000 0.500
Te1 Te 0.000 0.000 0.000
Ru1 Ru 0.500 0.500 0.500
```

- energy above the lowest structure with this stoichiometry (meV per atom) = 965
- total DFT energy (no corrections) (eV for the cell shown) = -33.6
- uncorrected formation energy (meV per atom) = 1810


Here is crystalline SrSi3Ni5 at its relaxed geometry from Alexandria via LeMat-Bulk. Energies are from PBE-GGA.

The structure in CIF format:
```
data_SrSi3Ni5
_chemical_formula_sum 'Sr4 Si12 Ni20'
_cell_length_a 3.714
_cell_length_b 11.859
_cell_length_c 11.757
_cell_angle_alpha 90.00
_cell_angle_beta 90.00
_cell_angle_gamma 90.00
_symmetry_space_group_name_H-M 'C m c m'
_symmetry_Int_Tables_number 63
_symmetry_space_group_name_Hall '-C 2c 2'
loop_
_atom_site_label
_atom_site_type_symbol
_atom_site_fract_x
_atom_site_fract_y
_atom_site_fract_z
Sr1 Sr 0.000 0.165 0.250
Si1 Si 0.000 0.106 0.750
Si2 Si 0.000 0.383 0.536
Ni1 Ni 0.000 0.000 0.000
Ni2 Ni 0.000 0.195 0.564
Ni3 Ni 0.000 0.448 0.145
```

- total DFT energy (no corrections) (eV for the cell shown) = -208.5
- uncorrected formation energy (meV per atom) = -584


Here is crystalline YTc3Au at its relaxed geometry from Alexandria via LeMat-Bulk. Energies are from PBE-GGA.

The structure in CIF format:
```
data_YTc3Au
_chemical_formula_sum 'Y1 Tc3 Au1'
_cell_length_a 4.945
_cell_length_b 4.945
_cell_length_c 4.945
_cell_angle_alpha 90.00
_cell_angle_beta 90.00
_cell_angle_gamma 90.00
_symmetry_space_group_name_H-M 'P m -3 m'
_symmetry_Int_Tables_number 221
_symmetry_space_group_name_Hall '-P 4 2 3'
loop_
_atom_site_label
_atom_site_type_symbol
_atom_site_fract_x
_atom_site_fract_y
_atom_site_fract_z
Y1 Y 0.000 0.000 0.000
Tc1 Tc 0.000 0.500 0.500
Au1 Au 0.500 0.500 0.500
```

- energy above the lowest structure with this stoichiometry (meV per atom) = 0
- total DFT energy (no corrections) (eV for the cell shown) = -32.4


Here is crystalline In2GaPdPb at its relaxed geometry from Alexandria via LeMat-Bulk. Energies are from PBE-GGA.

The structure in CIF format:
```
data_In2GaPdPb
_chemical_formula_sum 'In2 Ga1 Pd1 Pb1'
_cell_length_a 5.287
_cell_length_b 5.287
_cell_length_c 4.800
_cell_angle_alpha 90.00
_cell_angle_beta 90.00
_cell_angle_gamma 90.00
_symmetry_space_group_name_H-M 'P 4/m m m'
_symmetry_Int_Tables_number 123
_symmetry_space_group_name_Hall '-P 4 2'
loop_
_atom_site_label
_atom_site_type_symbol
_atom_site_fract_x
_atom_site_fract_y
_atom_site_fract_z
In1 In 0.000 0.500 0.000
Ga1 Ga 0.000 0.000 0.500
Pd1 Pd 0.000 0.000 0.000
Pb1 Pb 0.500 0.500 0.500
```

- total DFT energy (no corrections) (eV for the cell shown) = -17.6


Here is crystalline Cs3Sn4Ge2 at its relaxed geometry from Alexandria via LeMat-Bulk. Energies are from PBE-GGA.

The structure in CIF format:
```
data_Cs3Sn4Ge2
_chemical_formula_sum 'Cs12 Sn16 Ge8'
_cell_length_a 15.728
_cell_length_b 12.410
_cell_length_c 7.966
_cell_angle_alpha 90.00
_cell_angle_beta 100.66
_cell_angle_gamma 90.00
_symmetry_space_group_name_H-M 'C 1 2/c 1'
_symmetry_Int_Tables_number 15
loop_
_symmetry_equiv_pos_as_xyz
'x,y,z'
'-x,-y,-z'
'-x,y,-z+1/2'
'x,-y,z+1/2'
'x+1/2,y+1/2,z'
'-x+1/2,-y+1/2,-z'
'-x+1/2,y+1/2,-z+1/2'
'x+1/2,-y+1/2,z+1/2'
loop_
_atom_site_label
_atom_site_type_symbol
_atom_site_fract_x
_atom_site_fract_y
_atom_site_fract_z
Cs1 Cs 0.000 0.096 0.250
Cs2 Cs 0.121 0.388 0.571
Sn1 Sn 0.159 0.302 0.085
Sn2 Sn 0.181 0.103 0.688
Ge1 Ge 0.209 0.091 0.041
```

- total DFT energy (no corrections) (eV for the cell shown) = -116.1